Below is a geometry-optimized LiLaIr structure, with properties calculated at the PBE level.

Calculated values
The value obtained for the density of states at the Fermi level is 4.00 states/eV per cell. The offset from the most stable computed form is 0.24 eV per formula unit. The value obtained for the total DFT energy (no corrections) is -5.6234 eV/atom. The formation energy from the elements is -0.389 eV/atom.

a b c (Å): 7.5563 8.8503 4.5965
angles (deg): 90.00 127.15 90.00
With the nearest neighbours (Å) after each atom.
Space group C2/c (No. 15)
One atom of each set of equivalent atoms:
Li 0.0000 0.0098 0.2500  2 Li 2.30
La 0.0000 0.3628 0.7500  4 Ir 2.92-2.93
Ir 0.2500 0.2500 0.5000  2 Li 2.61, 2 La 2.92

=====

Below is a geometry-optimized LiLaIr2 structure, with properties calculated at the PBE level.

Calculated values
The value obtained for the density of states at the Fermi level is 4.79 states/eV per cell. The value obtained for the total DFT energy (no corrections) is -6.0222 eV/atom. The formation energy from the elements is 0.119 eV/atom.

a b c (Å): 2.9333 2.9333 8.4991
angles (deg): 90.00 90.00 90.00
With the nearest neighbours (Å) after each atom.
Space group P4mm (No. 99)
One atom of each set of equivalent atoms:
Li 0.0000 0.0000 0.0000  4 Ir 2.64, 4 Li 2.93
La 0.5000 0.5000 0.6733  4 La 2.93, 4 Ir 3.18
Ir 0.0000 0.0000 0.3900  8 Ir 2.67-2.93
Ir 0.5000 0.5000 0.1929  4 Li 2.64, 8 Ir 2.67-2.93